# GGA-PBE HfCoGeRh2, relaxed
data_HfCoGeRh2
_space_group_name_H-M_alt 'P 4/m m m'
_space_group_IT_number 123
_space_group_name_Hall '-P 4 2'
_cell_length_a 4.490
_cell_length_b 4.490
_cell_length_c 4.579
_cell_angle_alpha 90.00
_cell_angle_beta 90.00
_cell_angle_gamma 90.00
loop_
_atom_site_label
_atom_site_fract_x
_atom_site_fract_y
_atom_site_fract_z
Hf1 0.000 0.000 0.000
Co1 0.000 0.000 0.500
Ge1 0.500 0.500 0.000
Rh1 0.000 0.500 0.500
# Energy of formation (meV/atom): 532

---

# GGA-PBE HfScCoGe2, relaxed
data_HfScCoGe2
_space_group_name_H-M_alt 'P 4/m m m'
_space_group_IT_number 123
_space_group_name_Hall '-P 4 2'
_cell_length_a 5.043
_cell_length_b 5.043
_cell_length_c 4.476
_cell_angle_alpha 90.00
_cell_angle_beta 90.00
_cell_angle_gamma 90.00
loop_
_atom_site_label
_atom_site_fract_x
_atom_site_fract_y
_atom_site_fract_z
Hf1 0.000 0.000 0.000
Sc1 0.500 0.500 0.500
Co1 0.000 0.000 0.500
Ge1 0.000 0.500 0.000
# Energy of formation (meV/atom): 529

---

# GGA-PBE HfScCo2Ge, relaxed
data_HfScCo2Ge
_space_group_name_H-M_alt 'P 4/m m m'
_space_group_IT_number 123
_space_group_name_Hall '-P 4 2'
_cell_length_a 4.266
_cell_length_b 4.266
_cell_length_c 5.326
_cell_angle_alpha 90.00
_cell_angle_beta 90.00
_cell_angle_gamma 90.00
loop_
_atom_site_label
_atom_site_fract_x
_atom_site_fract_y
_atom_site_fract_z
Hf1 0.000 0.000 0.000
Sc1 0.000 0.000 0.500
Co1 0.000 0.500 0.500
Ge1 0.500 0.500 0.000
# Energy of formation (meV/atom): 1147

---

# GGA-PBE HfCoSi2Ge, relaxed
data_HfCoSi2Ge
_space_group_name_H-M_alt 'P 4/m m m'
_space_group_IT_number 123
_space_group_name_Hall '-P 4 2'
_cell_length_a 5.001
_cell_length_b 5.001
_cell_length_c 5.077
_cell_angle_alpha 90.00
_cell_angle_beta 90.00
_cell_angle_gamma 90.00
loop_
_atom_site_label
_atom_site_fract_x
_atom_site_fract_y
_atom_site_fract_z
Hf1 0.000 0.000 0.000
Co1 0.500 0.500 0.500
Si1 0.000 0.500 0.000
Ge1 0.000 0.000 0.500
# ΔE_f (raw) (kcal/mol of atoms): 28.638

---

# GGA-PBE YHfCoGe2, relaxed
data_YHfCoGe2
_space_group_name_H-M_alt 'P 4/m m m'
_space_group_IT_number 123
_space_group_name_Hall '-P 4 2'
_cell_length_a 5.085
_cell_length_b 5.085
_cell_length_c 5.448
_cell_angle_alpha 90.00
_cell_angle_beta 90.00
_cell_angle_gamma 90.00
loop_
_atom_site_label
_atom_site_fract_x
_atom_site_fract_y
_atom_site_fract_z
Y1 0.000 0.000 0.000
Hf1 0.000 0.000 0.500
Co1 0.500 0.500 0.000
Ge1 0.000 0.500 0.500
# Energy of formation (meV/atom): 1045

---

# GGA-PBE Hf2ZnCo5Ge2, relaxed
data_Hf2ZnCo5Ge2
_space_group_name_H-M_alt 'P 4/m b m'
_space_group_IT_number 127
_space_group_name_Hall '-P 4 2ab'
_cell_length_a 9.057
_cell_length_b 9.057
_cell_length_c 3.384
_cell_angle_alpha 90.00
_cell_angle_beta 90.00
_cell_angle_gamma 90.00
loop_
_atom_site_label
_atom_site_fract_x
_atom_site_fract_y
_atom_site_fract_z
Hf1 0.175 0.325 0.000
Zn1 0.000 0.000 0.000
Co1 0.000 0.500 0.500
Co2 0.063 0.792 0.500
Ge1 0.123 0.623 0.000
# Energy of formation (meV/atom): -266

---

# GGA-PBE CoHgGe3, relaxed
data_CoHgGe3
_space_group_name_H-M_alt 'P m -3 m'
_space_group_IT_number 221
_space_group_name_Hall '-P 4 2 3'
_cell_length_a 4.632
_cell_length_b 4.632
_cell_length_c 4.632
_cell_angle_alpha 90.00
_cell_angle_beta 90.00
_cell_angle_gamma 90.00
loop_
_atom_site_label
_atom_site_fract_x
_atom_site_fract_y
_atom_site_fract_z
Co1 0.000 0.000 0.000
Hg1 0.500 0.500 0.500
Ge1 0.000 0.000 0.500
# Energy of formation (meV/atom): 176

---

# GGA-PBE CoHg3Ge, relaxed
data_CoHg3Ge
_space_group_name_H-M_alt 'P m -3 m'
_space_group_IT_number 221
_space_group_name_Hall '-P 4 2 3'
_cell_length_a 4.980
_cell_length_b 4.980
_cell_length_c 4.980
_cell_angle_alpha 90.00
_cell_angle_beta 90.00
_cell_angle_gamma 90.00
loop_
_atom_site_label
_atom_site_fract_x
_atom_site_fract_y
_atom_site_fract_z
Co1 0.000 0.000 0.000
Hg1 0.000 0.000 0.500
Ge1 0.500 0.500 0.500
# Energy of formation (meV/atom): 607

---

# GGA-PBE CoHg2Ge, relaxed
data_CoHg2Ge
_space_group_name_H-M_alt 'I 41/a m d'
_space_group_IT_number 141
_cell_length_a 10.038
_cell_length_b 10.038
_cell_length_c 4.426
_cell_angle_alpha 90.00
_cell_angle_beta 90.00
_cell_angle_gamma 90.00
loop_
_space_group_symop_operation_xyz
'x,y,z'
'-x,-y,-z'
'-y+1/4,x+3/4,z+1/4'
'y+1/4,-x+3/4,-z+1/4'
'-x+1/2,-y,z+1/2'
'x+1/2,y,-z+1/2'
'y+1/4,-x+1/4,z+3/4'
'-y+1/4,x+1/4,-z+3/4'
'x,-y,-z'
'-x,y,z'
'-y+1/4,-x+1/4,-z+3/4'
'y+1/4,x+1/4,z+3/4'
'-x+1/2,y,-z+1/2'
'x+1/2,-y,z+1/2'
'y+1/4,x+3/4,-z+1/4'
'-y+1/4,-x+3/4,z+1/4'
'x+1/2,y+1/2,z+1/2'
'-x+1/2,-y+1/2,-z+1/2'
'-y+3/4,x+1/4,z+3/4'
'y+3/4,-x+1/4,-z+3/4'
'-x,-y+1/2,z'
'x,y+1/2,-z'
'y+3/4,-x+3/4,z+1/4'
'-y+3/4,x+3/4,-z+1/4'
'x+1/2,-y+1/2,-z+1/2'
'-x+1/2,y+1/2,z+1/2'
'-y+3/4,-x+3/4,-z+1/4'
'y+3/4,x+3/4,z+1/4'
'-x,y+1/2,-z'
'x,-y+1/2,z'
'y+3/4,x+1/4,-z+3/4'
'-y+3/4,-x+1/4,z+3/4'
loop_
_atom_site_label
_atom_site_fract_x
_atom_site_fract_y
_atom_site_fract_z
Co1 0.000 0.250 0.375
Hg1 0.000 0.000 0.500
Ge1 0.000 0.250 0.875
# Energy of formation (meV/atom): 210

---

# GGA-PBE LaCoHgGe2, relaxed
data_LaCoHgGe2
_space_group_name_H-M_alt 'P 4/m m m'
_space_group_IT_number 123
_space_group_name_Hall '-P 4 2'
_cell_length_a 4.680
_cell_length_b 4.680
_cell_length_c 5.081
_cell_angle_alpha 90.00
_cell_angle_beta 90.00
_cell_angle_gamma 90.00
loop_
_atom_site_label
_atom_site_fract_x
_atom_site_fract_y
_atom_site_fract_z
La1 0.000 0.000 0.000
Co1 0.000 0.000 0.500
Hg1 0.500 0.500 0.000
Ge1 0.000 0.500 0.500
# Energy of formation (meV/atom): -270

---

# GGA-PBE La2CoHgGe, relaxed
data_La2CoHgGe
_space_group_name_H-M_alt 'P 4/m m m'
_space_group_IT_number 123
_space_group_name_Hall '-P 4 2'
_cell_length_a 5.381
_cell_length_b 5.381
_cell_length_c 4.499
_cell_angle_alpha 90.00
_cell_angle_beta 90.00
_cell_angle_gamma 90.00
loop_
_atom_site_label
_atom_site_fract_x
_atom_site_fract_y
_atom_site_fract_z
La1 0.000 0.500 0.000
Co1 0.000 0.000 0.000
Hg1 0.500 0.500 0.500
Ge1 0.000 0.000 0.500
# Energy of formation (meV/atom): -454

---

# GGA-PBE MgCoHgGe2, relaxed
data_MgCoHgGe2
_space_group_name_H-M_alt 'P 4/m m m'
_space_group_IT_number 123
_space_group_name_Hall '-P 4 2'
_cell_length_a 4.495
_cell_length_b 4.495
_cell_length_c 5.032
_cell_angle_alpha 90.00
_cell_angle_beta 90.00
_cell_angle_gamma 90.00
loop_
_atom_site_label
_atom_site_fract_x
_atom_site_fract_y
_atom_site_fract_z
Mg1 0.000 0.000 0.000
Co1 0.000 0.000 0.500
Hg1 0.500 0.500 0.000
Ge1 0.000 0.500 0.500
# Energy of formation (meV/atom): -11

---

# GGA-PBE NaCoHg2Ge, relaxed
data_NaCoHg2Ge
_space_group_name_H-M_alt 'P 4/m m m'
_space_group_IT_number 123
_space_group_name_Hall '-P 4 2'
_cell_length_a 5.112
_cell_length_b 5.112
_cell_length_c 4.441
_cell_angle_alpha 90.00
_cell_angle_beta 90.00
_cell_angle_gamma 90.00
loop_
_atom_site_label
_atom_site_fract_x
_atom_site_fract_y
_atom_site_fract_z
Na1 0.000 0.000 0.000
Co1 0.500 0.500 0.500
Hg1 0.000 0.500 0.500
Ge1 0.500 0.500 0.000
# Energy of formation (meV/atom): -10